# Co2AsW

A PBEsol-optimized structure of Co2AsW (SCAN, Alexandria via LeMat-Bulk).

Values from the calculation:
Energy of formation, kJ/mol of formula units: 118
Density of states at the Fermi level, states/eV/f.u.: 3.6
Raw total energy, eV/atom: -30.817

Lattice parameters (Å, degrees): 2.744 3.247 5.609 90.00 90.00 90.00
Space group Pmm2 (No. 25)
Inequivalent atoms, fractional coordinates:
1 Co 0.000 0.000 0.000
2 Co 0.500 0.500 0.246
3 As 0.500 0.500 0.807
4 W 0.000 0.000 0.480